# PBE-GGA LiErPb2, optimized geometry
# - Total magnetic moment: 0.000 μB/f.u.
# - ρ: 9.01 g cm⁻³
# - Calculated total energy: -44.495 eV/cell
# - Formation enthalpy at 0 K: -0.235 eV/atom
data_LiErPb2
_chemical_formula_sum 'Li3 Er3 Pb6'
_cell_length_a 3.5977
_cell_length_b 3.5977
_cell_length_c 29.0329
_cell_angle_alpha 90.00
_cell_angle_beta 90.00
_cell_angle_gamma 120.00
_symmetry_space_group_name_H-M 'R -3 m'
_symmetry_Int_Tables_number 166
_symmetry_space_group_name_Hall '-R 3 2"'
loop_
_atom_site_label
_atom_site_type_symbol
_atom_site_fract_x
_atom_site_fract_y
_atom_site_fract_z
Li1 Li 0.0000 0.0000 0.0000
Er1 Er 0.0000 0.0000 0.5000
Pb1 Pb 0.0000 0.0000 0.2554